Record 1
# TcNiRh4 PBE relaxed
# Crystal system: orthorhombic
# Energy (eV for the cell shown): -90.04
# Energy of formation from the pure elements (eV per atom): 0.089
data_TcNiRh4
_cell_length_a 4.3236
_cell_length_b 5.3146
_cell_length_c 7.3290
_cell_angle_alpha 90.00
_cell_angle_beta 90.00
_cell_angle_gamma 90.00
_space_group_name_H-M_alt 'P m m n'
_space_group_IT_number 59
loop_
_space_group_symop_operation_xyz
'x,y,z'
'-x,-y,-z'
'-x+1/2,-y+1/2,z'
'x+1/2,y+1/2,-z'
'x+1/2,-y,-z'
'-x+1/2,y,z'
'-x,y+1/2,-z'
'x,-y+1/2,z'
loop_
_atom_site_label
_atom_site_type_symbol
_atom_site_fract_x
_atom_site_fract_y
_atom_site_fract_z
Tc1 Tc 0.2500 0.2500 0.0843
Ni1 Ni 0.2500 0.7500 0.4232
Rh1 Rh 0.2500 0.2500 0.4230
Rh2 Rh 0.2500 0.5041 0.7569
Rh3 Rh 0.2500 0.7500 0.0906


Record 2
# TcNi2Rh PBE relaxed
# Crystal system: orthorhombic
# Energy (eV for the cell shown): -117.60
# Energy of formation from the pure elements (eV per atom): -0.030
data_TcNi2Rh
_cell_length_a 5.1477
_cell_length_b 5.1587
_cell_length_c 7.5941
_cell_angle_alpha 90.00
_cell_angle_beta 90.00
_cell_angle_gamma 90.00
_space_group_name_H-M_alt 'F 2 2 2'
_space_group_IT_number 22
_space_group_name_Hall 'F 2 2'
loop_
_atom_site_label
_atom_site_type_symbol
_atom_site_fract_x
_atom_site_fract_y
_atom_site_fract_z
Tc1 Tc 0.0000 0.0000 0.0000
Ni1 Ni 0.0000 0.0000 0.5000
Ni2 Ni 0.2500 0.2500 0.2500
Rh1 Rh 0.2500 0.2500 0.7500


Question: Number 1 is which compound?
Answer: TcNiRh4


Question: Among the records above, which one has the highest energy?
Answer: TcNiRh4


Question: Number 2 is which compound?
Answer: TcNi2Rh